# 1
A plane-wave DFT calculation with PBE-GGA was carried out for an optimized crystal structure of Zr3BiH.

Lattice parameters (Å, degrees): 8.479 8.479 5.320 90.00 90.00 137.60
Fractional coordinates of all 10 atoms:
H: 0.417 0.583 0.250
H: 0.583 0.417 0.750
Bi: 0.171 0.829 0.250
Bi: 0.829 0.171 0.750
Zr: 0.588 0.919 0.250
Zr: 0.081 0.412 0.250
Zr: 0.919 0.588 0.750
Zr: 0.412 0.081 0.750
Zr: 0.000 0.000 0.000
Zr: 0.000 0.000 0.500

Results
Symmetry: Cmcm, No. 63
Energy above the lowest structure with this stoichiometry: 3.56 eV/f.u.
Magnetization: 0.00 μB/cell
Volume: 257.9 Å³/cell
Raw total energy: -62.05 eV per cell


# 2
A plane-wave DFT calculation with PBE-GGA was carried out for an optimized crystal structure of PuHfPaTi.

Lattice parameters (Å, degrees): 4.955 4.955 4.955 60.00 60.00 60.00
Each line ends with the local moment (μB).
Fractional coordinates of all 4 atoms:
Ti: 0.500 0.500 0.500  -0.76
Pa: 0.250 0.250 0.250  0.65
Hf: 0.750 0.750 0.750  0.17
Pu: 0.000 0.000 0.000  5.30

Results
Symmetry: F-43m, No. 216
Magnetization: 5.51 μB/cell
Volume: 86.0 Å³/cell
Formation energy from the elements: 0.101 eV per atom
Raw total energy: -41.27 eV per cell


# 3
A plane-wave DFT calculation with PBE-GGA was carried out for an optimized crystal structure of HfAlRu.

Lattice parameters (Å, degrees): 4.138 9.254 5.333 90.00 90.00 90.00
Fractional coordinates of all 12 atoms:
Ru: 0.000 0.592 0.250
Ru: 0.000 0.408 0.750
Ru: 0.500 0.092 0.250
Ru: 0.500 0.908 0.750
Hf: 0.000 0.286 0.250
Hf: 0.000 0.714 0.750
Hf: 0.500 0.786 0.250
Hf: 0.500 0.214 0.750
Al: 0.000 0.000 0.000
Al: 0.000 0.000 0.500
Al: 0.500 0.500 0.000
Al: 0.500 0.500 0.500

Results
Symmetry: Cmcm, No. 63
Magnetization: 0.00 μB/cell
Volume: 204.2 Å³/cell
Formation energy from the elements: -0.656 eV per atom
Raw total energy: -99.76 eV per cell


# 4
A plane-wave DFT calculation with PBE-GGA was carried out for an optimized crystal structure of CsTcHg2.

Lattice parameters (Å, degrees): 5.624 5.624 5.624 60.00 60.00 60.00
Each line ends with the local moment (μB).
Fractional coordinates of all 4 atoms:
Cs: 0.500 0.500 0.500  0.00
Hg: 0.250 0.250 0.250  0.01
Hg: 0.750 0.750 0.750  0.01
Tc: 0.000 0.000 0.000  3.27

Results
Symmetry: Fm-3m, No. 225
Magnetization: 3.72 μB/cell
Volume: 125.8 Å³/cell
Formation energy from the elements: 0.949 eV per atom
Raw total energy: -8.03 eV per cell


# 5
A plane-wave DFT calculation with PBE-GGA was carried out for an optimized crystal structure of Li2CrOs.

Lattice parameters (Å, degrees): 4.136 2.519 5.298 82.13 90.00 90.00
Fractional coordinates of all 4 atoms:
Cr: 0.500 0.761 0.708
Li: 0.000 0.998 0.019
Li: 0.500 0.241 0.237
Os: 0.000 0.500 0.536

Results
Symmetry: Pm, No. 6
Energy above the lowest structure with this stoichiometry: 0.00 eV/f.u.
Magnetization: 0.00 μB/cell
Volume: 54.7 Å³/cell
Formation energy from the elements: 0.243 eV per atom
Raw total energy: -23.71 eV per cell


# 6
A plane-wave DFT calculation with PBE-GGA was carried out for an optimized crystal structure of SrIrS2.

Lattice parameters (Å, degrees): 4.736 4.736 4.736 60.00 60.00 60.00
Fractional coordinates of all 4 atoms:
Sr: 0.000 0.000 0.000
S: 0.250 0.250 0.250
S: 0.750 0.750 0.750
Ir: 0.500 0.500 0.500

Results
Symmetry: Fm-3m, No. 225
Energy above the lowest structure with this stoichiometry: 2.08 eV/f.u.
Magnetization: 0.00 μB/cell
Volume: 75.1 Å³/cell
Raw formation energy: -80 kJ/mol of formula units
Raw total energy: -19.62 eV per cell


# 7
A plane-wave DFT calculation with PBE-GGA was carried out for an optimized crystal structure of LiYCd2.

Lattice parameters (Å, degrees): 3.690 3.690 6.869 90.00 90.00 90.00
Each line ends with the local moment (μB).
Fractional coordinates of all 4 atoms:
Cd: 0.000 0.000 0.015  0.00
Cd: 0.500 0.500 0.275  0.00
Li: 0.000 0.000 0.453  0.00
Y: 0.500 0.500 0.756  0.05

Results
Symmetry: P4mm, No. 99
Magnetization: 0.10 μB/cell
Volume: 93.5 Å³/cell
Formation energy from the elements: -0.150 eV per atom
Raw total energy: -10.81 eV per cell


# 8
A plane-wave DFT calculation with PBE-GGA was carried out for an optimized crystal structure of Tb2Dy7Ho2.

Lattice parameters (Å, degrees): 6.011 11.115 7.969 45.79 105.89 113.11
Fractional coordinates of all 11 atoms:
Tb: 0.500 0.784 0.433
Tb: 0.500 0.216 0.567
Dy: 0.825 0.589 0.472
Dy: 0.175 0.939 0.472
Dy: 0.175 0.411 0.528
Dy: 0.825 0.061 0.528
Dy: 0.000 0.000 0.000
Dy: 0.415 0.768 0.000
Dy: 0.585 0.232 0.000
Ho: 0.196 0.411 0.000
Ho: 0.804 0.589 0.000

Results
Symmetry: C2/m, No. 12
Energy above the lowest structure with this stoichiometry: 0.51 eV/f.u.
Magnetization: 0.00 μB/cell
Volume: 351.0 Å³/cell
Formation energy from the elements: 0.160 eV per atom
Raw total energy: -48.87 eV per cell


# 9
A plane-wave DFT calculation with PBE-GGA was carried out for an optimized crystal structure of NdMgIr2.

Lattice parameters (Å, degrees): 3.081 3.081 9.181 80.34 80.34 60.00
Fractional coordinates of all 4 atoms:
Mg: 0.000 0.000 0.000
Ir: 0.257 0.257 0.230
Ir: 0.743 0.743 0.770
Nd: 0.500 0.500 0.500

Results
Symmetry: R-3m, No. 166
Energy above the lowest structure with this stoichiometry: 1.63 eV/f.u.
Magnetization: 0.00 μB/cell
Volume: 74.0 Å³/cell
Formation energy from the elements: 0.043 eV per atom
Raw total energy: -23.91 eV per cell


# 10
A plane-wave DFT calculation with PBE-GGA was carried out for an optimized crystal structure of CsSr2NpI8.

Lattice parameters (Å, degrees): 7.854 7.638 10.281 89.93 89.96 89.65
Each line ends with the local moment (μB).
Fractional coordinates of all 12 atoms:
Cs: 0.000 0.000 0.500  0.00
Sr: 0.500 0.500 0.750  0.00
Sr: 0.500 0.500 0.250  0.00
Np: 0.000 0.000 0.000  4.01
I: 0.157 0.751 0.207  -0.02
I: 0.674 0.747 0.000  -0.02
I: 0.842 0.248 0.206  -0.02
I: 0.843 0.249 0.793  -0.02
I: 0.326 0.253 0.000  -0.02
I: 0.158 0.752 0.794  -0.02
I: 0.608 0.738 0.500  0.00
I: 0.392 0.262 0.500  0.00

Results
Symmetry: P-1, No. 2
Magnetization: 4.00 μB/cell
Volume: 616.7 Å³/cell
Raw formation energy: -1567 kJ/mol of formula units
Raw total energy: -45.80 eV per cell


# 11
A plane-wave DFT calculation with PBE-GGA was carried out for an optimized crystal structure of Co2MoHPd.

Lattice parameters (Å, degrees): 3.787 3.787 3.793 90.00 90.00 90.00
Each line ends with the local moment (μB).
Fractional coordinates of all 5 atoms:
H: 0.000 0.000 0.000  0.00
Mo: 0.000 0.000 0.500  0.38
Co: 0.000 0.500 0.000  0.92
Co: 0.500 0.000 0.000  0.92
Pd: 0.500 0.500 0.500  0.09

Results
Symmetry: P4/mmm, No. 123
Energy above the lowest structure with this stoichiometry: 0.00 eV/f.u.
Magnetization: 2.26 μB/cell
Volume: 54.4 Å³/cell
Raw total energy: -32.91 eV per cell


# 12
A plane-wave DFT calculation with PBE-GGA was carried out for an optimized crystal structure of HfHgOsO6.

Lattice parameters (Å, degrees): 7.643 7.255 7.566 118.65 120.33 90.00
Fractional coordinates of all 18 atoms:
Hf: 0.500 0.000 0.500
Hf: 0.000 0.000 0.500
Hg: 0.833 0.583 0.666
Hg: 0.167 0.417 0.334
Os: 0.500 0.500 0.000
Os: 0.500 0.000 0.000
O: 0.438 0.688 0.877
O: 0.808 0.058 0.615
O: 0.783 0.052 0.227
O: 0.444 0.675 0.227
O: 0.444 0.052 0.227
O: 0.783 0.675 0.227
O: 0.562 0.312 0.123
O: 0.192 0.942 0.385
O: 0.217 0.948 0.773
O: 0.556 0.325 0.773
O: 0.556 0.948 0.773
O: 0.217 0.325 0.773

Results
Symmetry: Imma, No. 74
Magnetization: 0.00 μB/cell
Volume: 301.1 Å³/cell
Raw formation energy: -1317 kJ/mol of formula units
Raw total energy: -129.78 eV per cell


What did the twelfth record say?
A plane-wave DFT calculation with PBE-GGA was carried out for an optimized crystal structure of HfHgOsO6.

Lattice parameters (Å, degrees): 7.643 7.255 7.566 118.65 120.33 90.00
Fractional coordinates of all 18 atoms:
Hf: 0.500 0.000 0.500
Hf: 0.000 0.000 0.500
Hg: 0.833 0.583 0.666
Hg: 0.167 0.417 0.334
Os: 0.500 0.500 0.000
Os: 0.500 0.000 0.000
O: 0.438 0.688 0.877
O: 0.808 0.058 0.615
O: 0.783 0.052 0.227
O: 0.444 0.675 0.227
O: 0.444 0.052 0.227
O: 0.783 0.675 0.227
O: 0.562 0.312 0.123
O: 0.192 0.942 0.385
O: 0.217 0.948 0.773
O: 0.556 0.325 0.773
O: 0.556 0.948 0.773
O: 0.217 0.325 0.773

Results
Symmetry: Imma, No. 74
Magnetization: 0.00 μB/cell
Volume: 301.1 Å³/cell
Raw formation energy: -1317 kJ/mol of formula units
Raw total energy: -129.78 eV per cell


- magnetization of number 8 (Tb2Dy7Ho2)?
  0.00 μB/cell